w) ## YTmPdPt (GGA-PBE)

Data for a relaxed YTmPdPt crystal.

Properties
space-group type	Amm2, No. 38
N(E_F)	0.81	states/eV per atom
total magnetic moment	0.000	μB/f.u.

Cell lengths 3.750, 4.498, 5.553 Å; angles 90.00, 109.73, 90.00 degrees
Positions (direct):
Pd  0.413  0.000  0.825
Pt  0.586  0.500  0.172
Tm  0.863  0.500  0.726
Y  0.139  0.000  0.277

***

x) ## YTmPdPt (GGA-PBE)

Data for a relaxed YTmPdPt crystal.

Properties
space-group type	F-43m, No. 216
N(E_F)	0.81	states/eV per atom
total magnetic moment	0.000	μB/f.u.

Cell lengths 4.925, 4.925, 4.925 Å; angles 60.00, 60.00, 60.00 degrees
Positions (direct):
Tm  0.000  0.000  0.000
Y  0.500  0.500  0.500
Pt  0.750  0.750  0.750
Pd  0.250  0.250  0.250

***

Most stable: w)

***

w) ## UPdPt3 (GGA-PBE)

Data for a relaxed UPdPt3 crystal.

Properties
space-group type	Cmcm, No. 63
N(E_F)	1.77	states/eV per atom
total magnetic moment	1.783	μB/f.u.

Cell lengths 5.216, 5.467, 7.152 Å; angles 112.47, 90.00, 90.00 degrees
Positions (direct):
U  0.750  0.369  0.739
U  0.250  0.631  0.261
Pt  0.500  0.000  0.000
Pt  0.750  0.896  0.293
Pt  0.250  0.104  0.707
Pt  0.750  0.397  0.293
Pt  0.000  0.000  0.000
Pt  0.250  0.603  0.707
Pd  0.750  0.818  0.636
Pd  0.250  0.182  0.364

***

x) ## UPdPt3 (GGA-PBE)

Data for a relaxed UPdPt3 crystal.

Properties
space-group type	Cmcm, No. 63
N(E_F)	1.52	states/eV per atom
total magnetic moment	1.259	μB/f.u.

Cell lengths 5.154, 5.548, 7.501 Å; angles 111.71, 90.00, 89.99 degrees
Positions (direct):
Pd  0.750  0.671  0.342
Pd  0.250  0.329  0.658
Pt  0.750  0.121  0.724
Pt  0.500  0.000  0.000
Pt  0.250  0.879  0.276
Pt  0.000  0.000  0.000
Pt  0.250  0.397  0.276
Pt  0.750  0.603  0.724
U  0.750  0.183  0.367
U  0.250  0.817  0.633

***

Most stable: w)

***

w) ## UPd3Pt2 (GGA-PBE)

Data for a relaxed UPd3Pt2 crystal.

Properties
space-group type	Pnma, No. 62
N(E_F)	1.34	states/eV per atom
total magnetic moment	1.300	μB/f.u.

Cell lengths 4.641, 4.990, 17.614 Å; angles 90.00, 90.00, 90.00 degrees
Positions (direct):
Pd  0.250  0.104  0.707
Pd  0.250  0.060  0.374
Pd  0.750  0.915  0.462
Pd  0.750  0.896  0.293
Pd  0.750  0.396  0.207
Pd  0.250  0.604  0.793
Pd  0.250  0.585  0.962
Pd  0.250  0.085  0.538
Pd  0.750  0.440  0.874
Pd  0.750  0.940  0.626
Pd  0.250  0.560  0.126
Pd  0.750  0.415  0.038
Pt  0.250  0.581  0.456
Pt  0.750  0.919  0.956
Pt  0.750  0.425  0.714
Pt  0.750  0.925  0.786
Pt  0.250  0.575  0.286
Pt  0.250  0.075  0.214
Pt  0.750  0.419  0.544
Pt  0.250  0.081  0.044
U  0.750  0.903  0.123
U  0.250  0.597  0.623
U  0.750  0.403  0.377
U  0.250  0.097  0.877

***

x) ## UPd3Pt2 (GGA-PBE)

Data for a relaxed UPd3Pt2 crystal.

Properties
space-group type	Fmmm, No. 69
N(E_F)	1.03	states/eV per atom
total magnetic moment	0.638	μB/f.u.

Cell lengths 5.264, 5.264, 9.380 Å; angles 113.74, 113.74, 64.22 degrees
Positions (direct):
Pd  0.840  0.840  0.165
Pd  0.325  0.325  0.165
Pd  0.178  0.178  0.356
Pd  0.160  0.160  0.835
Pd  0.675  0.675  0.835
Pd  0.822  0.822  0.644
U  0.653  0.653  0.306
U  0.347  0.347  0.694
Pt  0.250  0.750  0.500
Pt  0.247  0.753  0.000
Pt  0.753  0.247  0.000
Pt  0.750  0.250  0.500

***

Most stable: w)

***

w) ## UPd2Pt2 (GGA-PBE)

Data for a relaxed UPd2Pt2 crystal.

Properties
space-group type	I4/mmm, No. 139
N(E_F)	1.90	states/eV per atom
total magnetic moment	1.849	μB/f.u.

Cell lengths 5.110, 5.110, 5.292 Å; angles 118.87, 118.87, 90.00 degrees
Positions (direct):
U  0.000  0.000  0.000
Pd  0.665  0.665  0.330
Pd  0.335  0.335  0.670
Pt  0.250  0.750  0.500
Pt  0.750  0.250  0.500

***

x) ## UPd2Pt2 (GGA-PBE)

Data for a relaxed UPd2Pt2 crystal.

Properties
space-group type	P6_3/mmc, No. 194
N(E_F)	1.44	states/eV per atom
total magnetic moment	1.223	μB/f.u.

Cell lengths 4.589, 4.589, 10.515 Å; angles 90.00, 90.00, 120.00 degrees
Positions (direct):
Pd  0.667  0.333  0.395
Pd  0.667  0.333  0.105
Pd  0.333  0.667  0.895
Pd  0.333  0.667  0.605
U  0.000  0.000  0.750
U  0.000  0.000  0.250
Pt  0.000  0.000  0.000
Pt  0.667  0.333  0.750
Pt  0.000  0.000  0.500
Pt  0.333  0.667  0.250

***

Most stable: x)

***

w) ## VPdPt3 (GGA-PBE)

Data for a relaxed VPdPt3 crystal.

Properties
space-group type	Pm-3m, No. 221
N(E_F)	0.84	states/eV per atom
total magnetic moment	0.000	μB/f.u.

Cell lengths 4.586, 4.586, 4.586 Å; angles 90.00, 90.00, 90.00 degrees
Positions (direct):
Pt  0.000  0.500  0.000
Pt  0.500  0.000  0.000
Pt  0.000  0.000  0.500
Pd  0.500  0.500  0.500
V  0.000  0.000  0.000

***

x) ## VPdPt3 (GGA-PBE)

Data for a relaxed VPdPt3 crystal.

Properties
space-group type	Pnma, No. 62
N(E_F)	1.01	states/eV per atom
total magnetic moment	0.000	μB/f.u.

Cell lengths 5.838, 7.285, 7.520 Å; angles 90.00, 90.00, 90.00 degrees
Positions (direct):
Pt  0.618  0.666  0.448
Pt  0.618  0.666  0.052
Pt  0.382  0.334  0.948
Pt  0.118  0.834  0.052
Pt  0.264  0.537  0.250
Pt  0.736  0.463  0.750
Pt  0.382  0.334  0.552
Pt  0.882  0.166  0.948
Pt  0.236  0.037  0.750
Pt  0.882  0.166  0.552
Pt  0.764  0.963  0.250
Pt  0.118  0.834  0.448
V  0.000  0.500  0.500
V  0.500  0.000  0.000
V  0.500  0.000  0.500
V  0.000  0.500  0.000
Pd  0.712  0.344  0.250
Pd  0.288  0.656  0.750
Pd  0.788  0.844  0.750
Pd  0.212  0.156  0.250

***

y) ## VPdPt3 (GGA-PBE)

Data for a relaxed VPdPt3 crystal.

Properties
space-group type	Pm-3m, No. 221
N(E_F)	2.87	states/eV per atom
total magnetic moment	2.349	μB/f.u.

Cell lengths 4.806, 4.806, 4.806 Å; angles 90.00, 90.00, 90.00 degrees
Positions (direct):
Pt  0.000  0.000  0.500
Pt  0.000  0.500  0.000
Pt  0.500  0.000  0.000
V  0.500  0.500  0.500
Pd  0.000  0.000  0.000

***

Most stable: x)

***

w) ## VPd6Pt (GGA-PBE)

Data for a relaxed VPd6Pt crystal.

Properties
space-group type	P4/mmm, No. 123
N(E_F)	1.37	states/eV per atom
total magnetic moment	0.365	μB/f.u.

Cell lengths 3.881, 5.575, 5.575 Å; angles 90.00, 90.00, 90.00 degrees
Positions (direct):
Pd  0.500  0.000  0.500
Pd  0.000  0.757  0.757
Pd  0.000  0.243  0.757
Pd  0.000  0.243  0.243
Pd  0.000  0.757  0.243
Pd  0.500  0.500  0.000
V  0.500  0.000  0.000
Pt  0.500  0.500  0.500

***

x) ## VPd6Pt (GGA-PBE)

Data for a relaxed VPd6Pt crystal.

Properties
space-group type	P-1, No. 2
N(E_F)	0.85	states/eV per atom
total magnetic moment	0.001	μB/f.u.

Cell lengths 6.826, 6.832, 5.034 Å; angles 47.17, 47.27, 65.50 degrees
Positions (direct):
V  0.500  0.500  0.500
Pd  0.462  0.742  0.725
Pd  0.742  0.929  0.790
Pd  0.930  0.462  0.350
Pd  0.258  0.071  0.210
Pd  0.070  0.538  0.650
Pd  0.538  0.258  0.275
Pt  0.000  0.000  0.000

***

Most stable: w)

***

w) ## VPd3Pt (GGA-PBE)

Data for a relaxed VPd3Pt crystal.

Properties
space-group type	Pm-3m, No. 221
N(E_F)	2.88	states/eV per atom
total magnetic moment	3.512	μB/f.u.

Cell lengths 4.857, 4.857, 4.857 Å; angles 90.00, 90.00, 90.00 degrees
Positions (direct):
Pt  0.000  0.000  0.000
V  0.500  0.500  0.500
Pd  0.000  0.500  0.000
Pd  0.000  0.000  0.500
Pd  0.500  0.000  0.000

***

x) ## VPd3Pt (GGA-PBE)

Data for a relaxed VPd3Pt crystal.

Properties
space-group type	Cmcm, No. 63
N(E_F)	0.94	states/eV per atom
total magnetic moment	0.678	μB/f.u.

Cell lengths 3.912, 3.884, 10.026 Å; angles 90.00, 78.75, 90.00 degrees
Positions (direct):
Pt  0.675  0.750  0.299
Pt  0.973  0.250  0.701
Pd  0.876  0.750  0.896
Pd  0.075  0.750  0.499
Pd  0.574  0.250  0.501
Pd  0.772  0.250  0.104
Pd  0.270  0.750  0.108
Pd  0.378  0.250  0.892
V  0.173  0.250  0.302
V  0.475  0.750  0.698

***

y) ## VPd3Pt (GGA-PBE)

Data for a relaxed VPd3Pt crystal.

Properties
space-group type	Pm-3m, No. 221
N(E_F)	0.92	states/eV per atom
total magnetic moment	0.001	μB/f.u.

Cell lengths 4.519, 4.519, 4.519 Å; angles 90.00, 90.00, 90.00 degrees
Positions (direct):
Pt  0.500  0.500  0.500
V  0.000  0.000  0.000
Pd  0.000  0.500  0.000
Pd  0.500  0.000  0.000
Pd  0.000  0.000  0.500

***

Most stable: x)

***

w) ## VPd4Pt3 (GGA-PBE)

Data for a relaxed VPd4Pt3 crystal.

Properties
space-group type	Pmmn, No. 59
N(E_F)	1.04	states/eV per atom
total magnetic moment	0.000	μB/f.u.

Cell lengths 3.911, 7.873, 7.867 Å; angles 90.00, 90.00, 90.00 degrees
Positions (direct):
Pd  0.564  0.126  0.500
Pd  0.564  0.870  0.252
Pd  0.564  0.132  0.000
Pd  0.064  0.130  0.248
Pd  0.564  0.870  0.748
Pd  0.064  0.868  0.500
Pd  0.064  0.874  0.000
Pd  0.064  0.130  0.752
Pt  0.564  0.377  0.245
Pt  0.564  0.377  0.755
Pt  0.564  0.617  0.000
Pt  0.064  0.623  0.255
Pt  0.064  0.623  0.745
Pt  0.064  0.383  0.500
V  0.064  0.383  0.000
V  0.564  0.617  0.500

***

x) ## VPd4Pt3 (GGA-PBE)

Data for a relaxed VPd4Pt3 crystal.

Properties
space-group type	Immm, No. 71
N(E_F)	1.20	states/eV per atom
total magnetic moment	0.460	μB/f.u.

Cell lengths 3.949, 3.935, 9.975 Å; angles 126.26, 101.42, 90.00 degrees
Positions (direct):
Pd  0.752  0.756  0.504
Pd  0.248  0.244  0.496
Pd  0.621  0.862  0.241
Pd  0.379  0.138  0.759
Pt  0.881  0.644  0.762
Pt  0.119  0.356  0.238
Pt  0.000  0.500  0.000
V  0.500  0.000  0.000

***

Most stable: x)